[1]
Entry from Alexandria: a relaxed Dy2AlSi2Ir5 crystal (PBE).

Cell lengths 9.6627, 9.6627, 3.5061 Å; angles 90.00, 90.00, 90.00 degrees
Space group P4/mbm (No. 127)
Inequivalent atoms, fractional coordinates:
Dy1 0.1749 0.3251 0.0000 (multiplicity 4)
Al1 0.0000 0.0000 0.0000 (multiplicity 2)
Si1 0.1247 0.6247 0.0000 (multiplicity 4)
Ir1 0.0000 0.5000 0.5000 (multiplicity 2)
Ir2 0.0666 0.7905 0.5000 (multiplicity 8)

DOS(E_F)   0.264 states/eV/atom
Total energy   -7.703 eV/atom

[2]
Entry from Alexandria: a relaxed RbSmTeSe crystal (PBE).

Cell lengths 4.4307, 4.4307, 25.4321 Å; angles 90.00, 90.00, 120.00 degrees
Space group R3m (No. 160, hexagonal axes)
Inequivalent atoms, fractional coordinates:
Rb1 0.0000 0.0000 0.0000 (multiplicity 3)
Sm1 0.0000 0.0000 0.1603 (multiplicity 3)
Te1 0.0000 0.0000 0.5663 (multiplicity 3)
Se1 0.0000 0.0000 0.7667 (multiplicity 3)

DOS(E_F)   0.000 states/eV/atom
Total energy   -4.614 eV/atom

[3]
Entry from Alexandria: a relaxed Tb2Dy2YTh crystal (PBE).

Cell lengths 6.6180, 6.7091, 8.7905 Å; angles 90.00, 96.98, 90.00 degrees
Space group P2_1/m (No. 11)
Inequivalent atoms, fractional coordinates:
Tb1 0.1822 0.9997 0.1814 (multiplicity 4)
Dy1 0.2880 0.2500 0.8339 (multiplicity 2)
Dy2 0.4215 0.2500 0.4937 (multiplicity 2)
Y1 0.3458 0.7500 0.8591 (multiplicity 2)
Th1 0.0843 0.7500 0.5148 (multiplicity 2)

E_form   0.171 eV per atom
DOS(E_F)   1.592 states/eV/atom

[4]
Entry from Alexandria: a relaxed ErAl6Cr6 crystal (PBE).

Cell lengths 5.0503, 8.6870, 8.8009 Å; angles 90.00, 90.00, 90.00 degrees
Space group Immm (No. 71)
Inequivalent atoms, fractional coordinates:
Er1 0.0000 0.0000 0.0000 (multiplicity 2)
Al1 0.0000 0.0000 0.3323 (multiplicity 4)
Al2 0.0000 0.3075 0.5000 (multiplicity 4)
Al3 0.0000 0.3454 0.0000 (multiplicity 4)
Cr1 0.0000 0.5000 0.2594 (multiplicity 4)
Cr2 0.2500 0.2500 0.2500 (multiplicity 8)

E_form   -0.132 eV per atom
DOS(E_F)   0.672 states/eV/atom

[5]
Entry from Alexandria: a relaxed La7Se5S crystal (PBE).

Cell lengths 4.1899, 14.1126, 25.4431 Å; angles 90.00, 90.00, 90.00 degrees
Space group Cmc2_1 (No. 36)
Inequivalent atoms, fractional coordinates:
La1 0.0000 0.0422 0.0000 (multiplicity 4)
La2 0.0000 0.1248 0.7165 (multiplicity 4)
La3 0.0000 0.1539 0.2911 (multiplicity 4)
La4 0.0000 0.2919 0.9359 (multiplicity 4)
La5 0.0000 0.3109 0.0704 (multiplicity 4)
La6 0.0000 0.3981 0.6349 (multiplicity 4)
La7 0.0000 0.4335 0.3595 (multiplicity 4)
Se1 0.0000 0.0445 0.6065 (multiplicity 4)
Se2 0.0000 0.0700 0.3994 (multiplicity 4)
Se3 0.0000 0.2085 0.8269 (multiplicity 4)
Se4 0.0000 0.2357 0.1797 (multiplicity 4)
Se5 0.0000 0.4822 0.7492 (multiplicity 4)
S1 0.0000 0.3118 0.5229 (multiplicity 4)

DOS(E_F)   0.763 states/eV/atom
Total energy   -6.085 eV/atom

[6]
Entry from Alexandria: a relaxed PrIn4Pd2 crystal (PBE).

Cell lengths 4.6188, 10.0346, 33.4725 Å; angles 90.00, 90.00, 90.00 degrees
Space group Pmc2_1 (No. 26)
Inequivalent atoms, fractional coordinates:
Pr1 0.0000 0.0423 0.0000 (multiplicity 2)
Pr2 0.0000 0.1732 0.6982 (multiplicity 2)
Pr3 0.0000 0.2148 0.2993 (multiplicity 2)
Pr4 0.5000 0.2973 0.8606 (multiplicity 2)
Pr5 0.5000 0.4559 0.5592 (multiplicity 2)
In1 0.0000 0.0336 0.1111 (multiplicity 2)
In2 0.0000 0.1216 0.8002 (multiplicity 2)
In3 0.0000 0.1729 0.1946 (multiplicity 2)
In4 0.0000 0.1936 0.4129 (multiplicity 2)
In5 0.0000 0.2876 0.9284 (multiplicity 2)
In6 0.0000 0.3092 0.5013 (multiplicity 2)
In7 0.0000 0.3845 0.0120 (multiplicity 2)
In8 0.0000 0.4481 0.6317 (multiplicity 2)
In9 0.0000 0.4701 0.3690 (multiplicity 2)
In10 0.0000 0.4717 0.2225 (multiplicity 2)
In11 0.5000 0.0204 0.2511 (multiplicity 2)
In12 0.5000 0.0485 0.9311 (multiplicity 2)
In13 0.5000 0.0520 0.3469 (multiplicity 2)
In14 0.5000 0.1216 0.5446 (multiplicity 2)
In15 0.5000 0.1916 0.0560 (multiplicity 2)
In16 0.5000 0.2040 0.6302 (multiplicity 2)
In17 0.5000 0.2991 0.7554 (multiplicity 2)
In18 0.5000 0.3264 0.1416 (multiplicity 2)
In19 0.5000 0.4377 0.2972 (multiplicity 2)
In20 0.5000 0.4668 0.4436 (multiplicity 2)
Pd1 0.0000 0.0610 0.8805 (multiplicity 2)
Pd2 0.0000 0.2227 0.5813 (multiplicity 2)
Pd3 0.0000 0.3018 0.0914 (multiplicity 2)
Pd4 0.0000 0.3943 0.7948 (multiplicity 2)
Pd5 0.5000 0.0467 0.1666 (multiplicity 2)
Pd6 0.5000 0.2035 0.4652 (multiplicity 2)
Pd7 0.5000 0.2843 0.9763 (multiplicity 2)
Pd8 0.5000 0.2919 0.2257 (multiplicity 2)
Pd9 0.5000 0.3155 0.3737 (multiplicity 2)
Pd10 0.5000 0.4239 0.6805 (multiplicity 2)

Excess energy over the best structure of this formula in the dataset   0 meV per atom
E_form   -0.577 eV per atom
DOS(E_F)   0.369 states/eV/atom